This record from the Open Quantum Materials Database describes a relaxed structure of Ta28Ni. The functional is GGA-PBE.

For the theoretical density, the calculation gives 15.73 g/cm³. The calculation puts the calculated volume at 18.7 A^3/atom. Its magnetic moment is 0.0002 μB/atom. The value obtained for the energy relative to the elements is 4.93 eV per formula unit.

The space group is I-43m (No. 217) and the conventional cell measures 10.266, 10.266 and 10.266 Å, with angles of 90.00, 90.00 and 90.00 degrees. The distinct sites, in fractional coordinates, are Ta at (0.037, 0.359, 0.641), Ta at (0.092, 0.092, 0.721), Ta at (0.191, 0.191, 0.191) and Ni at (0.000, 0.000, 0.000).